Entry 1:
A plane-wave DFT calculation with PBE was carried out for Ti2TcPtN after structural relaxation.

Unit cell a=4.120 b=4.120 c=3.981 alpha=90.00 beta=90.00 gamma=90.00
Space group P4/mmm (No. 123)
Inequivalent atoms, fractional coordinates:
Ti1 0.000 0.500 0.000
Tc1 0.000 0.000 0.500
Pt1 0.500 0.500 0.500
N1 0.000 0.000 0.000

Results
As for the formation energy without anion corrections: -90 kJ/mol of atoms. The total energy comes out at -9.032 eV per atom. The value obtained for the total magnetization is 0.00 μB/f.u.

=====

Entry 2:
A plane-wave DFT calculation with PBE was carried out for KSiAu2 after structural relaxation.

Unit cell a=4.393 b=4.393 c=8.817 alpha=90.00 beta=90.00 gamma=90.00
Space group I-4m2 (No. 119)
Inequivalent atoms, fractional coordinates:
K1 0.000 0.000 0.000
Si1 0.000 0.500 0.750
Au1 0.000 0.000 0.500
Au2 0.000 0.500 0.250

Results
As for the formation energy without anion corrections: 33 kJ/mol of atoms. The total energy comes out at -2.926 eV per atom. The value obtained for the total magnetization is 0.00 μB/f.u.

=====

Entry 3:
A plane-wave DFT calculation with PBE was carried out for YSc2Rh after structural relaxation.

Unit cell a=3.720 b=11.532 c=8.621 alpha=90.00 beta=90.00 gamma=90.00
Space group Cmcm (No. 63)
Inequivalent atoms, fractional coordinates:
Y1 0.000 0.064 0.250
Sc1 0.000 0.357 0.064
Rh1 0.000 0.241 0.750

Results
The total energy comes out at -7.127 eV per atom. The value obtained for the relative energy among the computed polymorphs is 0.0160 eV/atom. The calculation puts the formation energy at -49.0 kJ/mol of atoms. The value obtained for the total magnetization is 0.00 μB/f.u.